[1]
Entry from the Alexandria database: La2TbTm after structural relaxation (PBE).

```
La2TbTm
1.0
-1.0882 -2.7002 4.0584
2.8361 -3.9501 -1.8677
4.2194 1.8976 2.3939
La Tb Tm
2 1 1
direct
0.0000 0.0000 0.5000
0.0000 0.5000 0.0000
0.5000 0.5000 0.5000
0.5000 0.0000 0.0000
```

Calculated values
distance to the lowest polymorph of the same formula = 8 meV per atom
space group = No. 123
total magnetization = 0.0 Bohr magnetons per cell

---

[2]
Entry from the Alexandria database: Tb2CuAs3Rh4 after structural relaxation (PBE).

```
Tb2CuAs3Rh4
1.0
-2.2001 2.3761 -2.5837
-2.4386 -3.2279 -0.8920
-6.2563 2.5950 7.7139
As Tb Rh Cu
3 2 4 1
direct
0.5000 0.0000 0.8619
0.0000 0.0000 0.5000
0.0000 0.5000 0.1381
0.5000 0.0000 0.2586
0.0000 0.5000 0.7414
0.0000 0.5000 0.3680
0.5000 0.0000 0.6320
0.0000 0.0000 0.0000
0.5000 0.5000 0.0000
0.5000 0.5000 0.5000
```

Calculated values
VASP energy = -65.01 eV per cell
space group = No. 115
total magnetization = 0.0 Bohr magnetons per cell

---

[3]
Entry from the Alexandria database: La2TlCl after structural relaxation (PBE).

```
La2TlCl
1.0
8.1811 -0.0593 -0.0358
7.1105 4.0466 -0.0358
7.1105 1.8541 3.5971
La Tl Cl
2 1 1
direct
0.0129 0.0129 0.0129
0.4871 0.4871 0.4871
0.2500 0.2500 0.2500
0.7500 0.7500 0.7500
```

Calculated values
ΔE_f (raw) = -0.94 eV/atom
distance to the lowest polymorph of the same formula = 9 meV per atom
space group = No. 166
total magnetization = 0.0 Bohr magnetons per cell

---

[4]
Entry from the Alexandria database: Nd2MgAl4Zn3 after structural relaxation (PBE).

```
Nd2MgAl4Zn3
1.0
4.2873 0.0000 0.0000
0.0000 4.2873 0.0000
0.0000 0.0000 11.0307
Zn Nd Al Mg
3 2 4 1
direct
0.0000 0.5000 0.1321
0.0000 0.0000 0.5000
0.5000 0.0000 0.8679
0.0000 0.5000 0.7575
0.5000 0.0000 0.2425
0.5000 0.5000 0.0000
0.5000 0.0000 0.6454
0.0000 0.5000 0.3546
0.0000 0.0000 0.0000
0.5000 0.5000 0.5000
```

Calculated values
VASP energy = -33.59 eV per cell
space group = No. 115
total magnetization = 0.0 Bohr magnetons per cell

---

[5]
Entry from the Alexandria database: Ti8As2P3 after structural relaxation (PBE).

```
Ti8As2P3
1.0
-5.2791 -2.5087 0.6128
0.0252 -1.6755 -6.6424
4.3982 -3.6831 4.4783
Ti P As
8 3 2
direct
0.9158 0.1070 0.2141
0.4067 0.8661 0.2282
0.5933 0.1339 0.7718
0.2306 0.4345 0.8690
0.4067 0.3621 0.2282
0.5933 0.6379 0.7718
0.7694 0.5655 0.1310
0.0842 0.8930 0.7859
0.0000 0.7394 0.0000
0.5000 0.0000 0.0000
0.0000 0.2606 0.0000
0.6697 0.7472 0.4944
0.3303 0.2528 0.5056
```

Calculated values
VASP energy = -97.13 eV per cell
space group = No. 12
total magnetization = 0.0 Bohr magnetons per cell

---

[6]
Entry from the Alexandria database: DySn4 after structural relaxation (PBE).

```
DySn4
1.0
5.7331 0.0000 0.0000
0.0000 5.7331 0.0000
0.0000 0.0000 5.7331
Sn Dy
4 1
direct
0.5000 0.5000 0.0000
0.0000 0.0000 0.0000
0.0000 0.5000 0.5000
0.5000 0.0000 0.5000
0.5000 0.5000 0.5000
```

Calculated values
distance to the lowest polymorph of the same formula = 805 meV per atom
space group = No. 221
total magnetization = 0.0 Bohr magnetons per cell

---

[7]
Entry from the Alexandria database: HgAsBr2 after structural relaxation (PBE).

```
HgAsBr2
1.0
-0.9184 4.4518 0.7170
-3.9528 2.2299 0.7611
-0.4532 0.8160 9.9469
Br As Hg
2 1 1
direct
0.5651 0.5651 0.4037
0.9349 0.9349 0.0963
0.2500 0.2500 0.2500
0.7500 0.7500 0.7500
```

Calculated values
ΔE_f (raw) = -0.06 eV/atom
distance to the lowest polymorph of the same formula = 66 meV per atom
space group = No. 12
total magnetization = 0.0 Bohr magnetons per cell

---

[8]
Entry from the Alexandria database: YPBr2 after structural relaxation (PBE).

```
YPBr2
1.0
2.1117 0.0000 10.5249
-1.0559 1.8288 10.5249
-1.0559 -1.8288 10.5249
P Br Y
1 2 1
direct
0.0000 0.0000 0.0000
0.1060 0.1060 0.1060
0.8940 0.8940 0.8940
0.5000 0.5000 0.5000
```

Calculated values
ΔE_f (raw) = -0.41 eV/atom
distance to the lowest polymorph of the same formula = 696 meV per atom
space group = No. 166
total magnetization = 0.4 Bohr magnetons per cell

---

[9]
Entry from the Alexandria database: Co4Ni5Ir after structural relaxation (PBE).

```
Co4Ni5Ir
1.0
-0.1130 3.7965 1.6609
-5.3761 -2.4587 5.2543
5.4846 -1.9024 4.7216
Co Ni Ir
8 10 2
direct
0.1238 0.5000 0.1784
0.7550 0.7218 0.5000
0.1238 0.5000 0.8216
0.2450 0.2218 0.0000
0.2450 0.7782 0.0000
0.8762 0.0000 0.3216
0.8762 0.0000 0.6784
0.7550 0.2782 0.5000
0.5866 0.5000 0.0000
0.7471 0.2696 0.1727
0.2529 0.7696 0.6727
0.2529 0.7696 0.3273
0.2529 0.2304 0.3273
0.7471 0.7304 0.8273
0.2529 0.2304 0.6727
0.4134 0.0000 0.5000
0.7471 0.7304 0.1727
0.7471 0.2696 0.8273
0.2907 0.5000 0.5000
0.7093 0.0000 0.0000
```

Calculated values
VASP energy = -126.91 eV per cell
space group = No. 59
total magnetization = 22.4 Bohr magnetons per cell

---

[10]
Entry from the Alexandria database: TlPIr2 after structural relaxation (PBE).

```
TlPIr2
1.0
8.4072 0.0092 0.0054
7.8502 3.0092 0.0054
7.8502 1.4575 2.6327
Ir P Tl
2 1 1
direct
0.9829 0.9829 0.9829
0.5171 0.5171 0.5171
0.2500 0.2500 0.2500
0.7500 0.7500 0.7500
```

Calculated values
distance to the lowest polymorph of the same formula = 92 meV per atom
space group = No. 166
total magnetization = 0.0 Bohr magnetons per cell

---

[11]
Entry from the Alexandria database: CaCuHg after structural relaxation (PBE).

```
CaCuHg
1.0
-2.4180 -4.0535 3.0508
-3.3319 -4.5055 -0.4344
2.0699 -2.9794 -0.1576
Hg Cu Ca
1 1 1
direct
0.6873 0.6873 0.3127
0.3156 0.3156 0.6844
0.9971 0.9971 0.0029
```

Calculated values
VASP energy = -6.97 eV per cell
space group = No. 107
total magnetization = 0.0 Bohr magnetons per cell

---

[12]
Entry from the Alexandria database: DyThCoNi after structural relaxation (PBE).

```
DyThCoNi
1.0
4.8425 0.0000 0.0000
2.4212 4.1937 0.0000
2.4212 1.3979 3.9538
Ni Dy Th Co
1 1 1 1
direct
0.5000 0.5000 0.5000
0.2500 0.2500 0.2500
0.7500 0.7500 0.7500
0.0000 0.0000 0.0000
```

Calculated values
distance to the lowest polymorph of the same formula = 115 meV per atom
space group = No. 216
total magnetization = 0.0 Bohr magnetons per cell